## Ti4Zn3Ir2 (GGA-PBE)

Data for a relaxed structure of Ti4Zn3Ir2.

Summary:
The crystal system is triclinic. For the electronic total energy, the calculation gives -57.11 eV per cell.

Lattice parameters (Å, degrees): 4.3335 4.3356 8.7009 88.57 88.64 60.31
Closest atoms and distances in Å follow each position.
Fractional positions:
Ti  0.0048  0.0054  0.3284  3 Ir 2.69-2.88, 7 Zn 2.86-2.94, 1 Ti 2.98
Ti  0.3360  0.3364  0.8826  4 Ir 2.56-2.61, 3 Zn 2.69-2.71
Ti  0.6640  0.6636  0.1174  4 Ir 2.56-2.61, 3 Zn 2.69-2.71
Ti  0.9952  0.9946  0.6716  3 Ir 2.69-2.88, 7 Zn 2.86-2.94, 1 Ti 2.98
Zn  0.0000  0.0000  0.0000  8 Ti 2.69-2.86, 6 Ir 2.95-2.98
Zn  0.3335  0.3335  0.4968  3 Zn 2.50-2.51, 1 Ir 2.74
Zn  0.6665  0.6665  0.5032  3 Zn 2.50-2.51, 1 Ir 2.74
Ir  0.3265  0.3252  0.1826  6 Ti 2.56-2.87, 1 Zn 2.74
Ir  0.6735  0.6748  0.8174  6 Ti 2.56-2.87, 1 Zn 2.74

---

## BaIr4RhS8 (GGA-PBE)

Data for a relaxed structure of BaIr4RhS8.

Summary:
The crystal system is trigonal. The formation energy from raw total energies comes out at -0.335 eV/atom.

Lattice parameters (Å, degrees): 7.3088 7.3088 7.3088 60.66 60.66 60.66
Closest atoms and distances in Å follow each position.
Fractional positions:
Ba  0.0000  0.0000  0.0000  3 S 2.74
Ir  0.0261  0.5415  0.5415  6 S 2.38-2.52
Ir  0.1732  0.1732  0.1732  4 S 2.34-2.54
Ir  0.5415  0.0261  0.5415  6 S 2.38-2.52
Ir  0.5415  0.5415  0.0261  6 S 2.38-2.52
Rh  0.5335  0.5335  0.5335  6 S 2.27-2.45
S  0.2980  0.2980  0.7527  1 Rh 2.45, 3 Ir 2.52-2.54
S  0.2980  0.7527  0.2980  1 Rh 2.45, 3 Ir 2.52-2.54
S  0.3048  0.3048  0.3048  4 Ir 2.34-2.48
S  0.3651  0.7501  0.7501  1 Rh 2.27, 2 Ir 2.38
S  0.7501  0.3651  0.7501  1 Rh 2.27, 2 Ir 2.38
S  0.7501  0.7501  0.3651  1 Rh 2.27, 2 Ir 2.38
S  0.7527  0.2980  0.2980  1 Rh 2.45, 3 Ir 2.52-2.54
S  0.7706  0.7706  0.7706  3 Ir 2.39

---

## Sr2AgBi (GGA-PBE)

Data for a relaxed structure of Sr2AgBi.

Summary:
The crystal system is tetragonal. For the electronic total energy, the calculation gives -12.44 eV per cell.

Lattice parameters (Å, degrees): 5.6492 5.6492 4.1499 90.00 90.00 90.00
Closest atoms and distances in Å follow each position.
Fractional positions:
Sr  0.0000  0.5000  0.0000  4 Bi 3.50, 4 Ag 3.50
Sr  0.5000  0.0000  0.0000  4 Bi 3.50, 4 Ag 3.50
Ag  0.0000  0.0000  0.5000  8 Sr 3.50
Bi  0.5000  0.5000  0.5000  8 Sr 3.50

---

## Sm4Pt2C (GGA-PBE)

Data for a relaxed structure of Sm4Pt2C.

Summary:
The crystal system is tetragonal. For the electronic total energy, the calculation gives -88.12 eV per cell.

Lattice parameters (Å, degrees): 4.8931 4.8931 14.5516 90.00 90.00 90.00
Closest atoms and distances in Å follow each position.
Fractional positions:
Sm  0.0000  0.0000  0.1759  1 C 2.56, 1 Pt 2.81
Sm  0.0000  0.0000  0.8241  1 C 2.56, 1 Pt 2.81
Sm  0.0000  0.5000  0.0000  2 C 2.45
Sm  0.0000  0.5000  0.5000  2 C 2.45
Sm  0.5000  0.0000  0.0000  2 C 2.45
Sm  0.5000  0.0000  0.5000  2 C 2.45
Sm  0.5000  0.5000  0.3241  1 C 2.56, 1 Pt 2.81
Sm  0.5000  0.5000  0.6759  1 C 2.56, 1 Pt 2.81
Pt  0.0000  0.0000  0.3692  5 Sm 2.81-3.10
Pt  0.0000  0.0000  0.6308  5 Sm 2.81-3.10
Pt  0.5000  0.5000  0.1308  5 Sm 2.81-3.10
Pt  0.5000  0.5000  0.8692  5 Sm 2.81-3.10
C  0.0000  0.0000  0.0000  6 Sm 2.45-2.56
C  0.5000  0.5000  0.5000  6 Sm 2.45-2.56